CsSr3V4O12 after structural relaxation. Source: the Alexandria database, functional GGA+U.

Values from the calculation:
total magnetic moment = 3.0 μB per cell
final energy = -6.8408 eV per atom

a b c (Å): 7.7123 7.7123 7.7123
angles (deg): 105.87 105.87 105.87
Site moments in Bohr magnetons follow the coordinates.
Positions (direct):
Cs: 0.0000 0.0000 0.0000  0.00
Sr: 0.5593 0.4407 0.0000  0.00
Sr: 0.4407 0.0000 0.5593  0.00
Sr: 0.0000 0.5593 0.4407  0.00
V: 0.9368 0.0632 0.5000  0.70
V: 0.0632 0.5000 0.9368  0.70
V: 0.5000 0.9368 0.0632  0.70
V: 0.5000 0.5000 0.5000  0.97
O: 0.5000 0.3582 0.6418  -0.06
O: 0.9218 0.5000 0.0782  -0.05
O: 0.0782 0.9218 0.5000  -0.05
O: 0.5000 0.0782 0.9218  -0.05
O: 0.3709 0.9449 0.2124  -0.05
O: 0.2124 0.3709 0.9449  -0.05
O: 0.9449 0.2124 0.3709  -0.05
O: 0.6291 0.7876 0.0551  -0.05
O: 0.0551 0.6291 0.7876  -0.05
O: 0.7876 0.0551 0.6291  -0.05
O: 0.6418 0.5000 0.3582  -0.06
O: 0.3582 0.6418 0.5000  -0.06